Record 1
A relaxed structure of Pr2Pa2S7. Source: the Alexandria database, functional PBE.

Cell lengths 4.658, 4.658, 13.342 Å; angles 90.00, 90.00, 90.00 degrees
Site moments in Bohr magnetons follow the coordinates.
Fractional coordinates of all 11 atoms:
S1 0.000 0.000 0.750  -0.02
S2 0.500 0.500 0.265  -0.02
S3 0.500 0.500 0.000  0.00
S4 0.000 0.000 0.250  -0.02
S5 0.000 0.000 0.500  -0.04
S6 0.500 0.500 0.735  -0.02
S7 0.500 0.500 0.500  -0.04
Pr1 0.500 0.000 0.859  0.02
Pr2 0.000 0.500 0.141  0.02
Pa1 0.500 0.000 0.379  0.92
Pa2 0.000 0.500 0.621  0.92

## Properties
**DFT total energy**: -6.93 eV per atom
**Space group**: P-4m2
**Uncorrected formation energy**: -1.71 eV per atom
**Total moment**: 0.1767 μB/atom
**E above lowest polymorph**: 0.115 eV/atom

***

Record 2
A relaxed structure of Pr2PaS5. Source: the Alexandria database, functional PBE.

Cell lengths 7.545, 8.125, 12.082 Å; angles 90.00, 90.00, 90.00 degrees
Site moments in Bohr magnetons follow the coordinates.
Fractional coordinates of all 32 atoms:
Pr1 0.026 0.500 0.323  0.03
Pr2 0.474 0.000 0.823  0.03
Pr3 0.526 0.500 0.177  0.03
Pr4 0.526 0.000 0.177  0.03
Pr5 0.474 0.500 0.823  0.03
Pr6 0.026 0.000 0.323  0.03
Pr7 0.974 0.500 0.677  0.03
Pr8 0.974 0.000 0.677  0.03
S1 0.807 0.750 0.212  -0.01
S2 0.450 0.250 0.001  -0.01
S3 0.050 0.250 0.501  -0.01
S4 0.338 0.960 0.595  -0.02
S5 0.162 0.540 0.095  -0.02
S6 0.162 0.960 0.095  -0.02
S7 0.332 0.750 0.315  -0.01
S8 0.338 0.540 0.595  -0.02
S9 0.693 0.750 0.712  -0.01
S10 0.832 0.250 0.185  -0.01
S11 0.662 0.040 0.405  -0.02
S12 0.193 0.250 0.788  -0.01
S13 0.668 0.250 0.685  -0.01
S14 0.307 0.250 0.288  -0.01
S15 0.950 0.750 0.499  -0.01
S16 0.168 0.750 0.815  -0.01
S17 0.838 0.460 0.905  -0.02
S18 0.662 0.460 0.405  -0.02
S19 0.550 0.750 0.999  -0.01
S20 0.838 0.040 0.905  -0.02
Pa1 0.930 0.750 0.993  0.70
Pa2 0.070 0.250 0.007  0.70
Pa3 0.430 0.250 0.507  0.70
Pa4 0.570 0.750 0.493  0.70

## Properties
**DFT total energy**: -6.89 eV per atom
**Space group**: Pnma
**Uncorrected formation energy**: -1.93 eV per atom
**Total moment**: 0.1008 μB/atom
**E above lowest polymorph**: 0.000 eV/atom